No. 1
Below is Ba2InRh at its PBEsol-relaxed geometry, with properties calculated at the SCAN level.

Lattice parameters (Å, degrees): 4.2531 4.8438 8.6121 105.06 90.00 116.04
Fractional coordinates of all 4 atoms:
1 In 0.4499 0.8998 0.3746
2 Ba 0.0712 0.1424 0.1141
3 Ba 0.2198 0.4396 0.6355
4 Rh 0.7591 0.5182 0.3757

* raw total energy: -147.809 eV for the cell shown
* symmetry: Cm (8)
* DFT formation energy: -37.4 kJ per mole of atoms

No. 2
Below is BaIn3Ru at its PBEsol-relaxed geometry, with properties calculated at the SCAN level.

Lattice parameters (Å, degrees): 5.1372 5.1372 5.1372 90.00 90.00 90.00
Fractional coordinates of all 5 atoms:
1 In 0.0000 0.5000 0.0000
2 In 0.0000 0.0000 0.5000
3 In 0.5000 0.0000 0.0000
4 Ru 0.0000 0.0000 0.0000
5 Ba 0.5000 0.5000 0.5000

* raw total energy: -176.459 eV for the cell shown
* symmetry: Pm-3m (221)
* DFT formation energy: -37.1 kJ per mole of atoms

No. 3
Below is BaIn2S4 at its PBEsol-relaxed geometry, with properties calculated at the SCAN level.

Lattice parameters (Å, degrees): 12.5992 12.5992 12.7076 105.46 105.46 117.53
Fractional coordinates of all 56 atoms:
1 In 0.4866 0.2613 0.2486
2 In 0.4880 0.7628 0.2514
3 In 0.2683 0.4102 0.2503
4 In 0.2679 0.9099 0.2497
5 In 0.5113 0.2366 0.7486
6 In 0.9817 0.3398 0.2497
7 In 0.2372 0.5120 0.7486
8 In 0.0901 0.7321 0.7503
9 In 0.9821 0.8401 0.2503
10 In 0.7387 0.5134 0.7514
11 In 0.7634 0.4887 0.2514
12 In 0.6602 0.0183 0.7503
13 In 0.5898 0.7317 0.7497
14 In 0.7620 0.9872 0.2486
15 In 0.0128 0.2380 0.7514
16 In 0.1599 0.0179 0.7497
17 S 0.9727 0.5350 0.2525
18 S 0.9675 0.0297 0.7525
19 S 0.7119 0.9612 0.4204
20 S 0.9703 0.0325 0.2475
21 S 0.7720 0.1901 0.2475
22 S 0.0388 0.2881 0.5796
23 S 0.5403 0.7903 0.5788
24 S 0.0403 0.2903 0.0788
25 S 0.2825 0.7203 0.7475
26 S 0.4650 0.0273 0.7475
27 S 0.7092 0.4585 0.9204
28 S 0.2112 0.4619 0.9204
29 S 0.9426 0.5245 0.7525
30 S 0.7745 0.6926 0.2525
31 S 0.7097 0.9597 0.9212
32 S 0.2097 0.4597 0.4212
33 S 0.0385 0.7885 0.0788
34 S 0.4780 0.5599 0.2525
35 S 0.2797 0.7175 0.2525
36 S 0.3074 0.2255 0.7475
37 S 0.4755 0.0574 0.2475
38 S 0.0385 0.7885 0.5788
39 S 0.7085 0.4592 0.4204
40 S 0.2115 0.9615 0.4212
41 S 0.7850 0.7227 0.7525
42 S 0.2773 0.2150 0.2475
43 S 0.5408 0.2915 0.5796
44 S 0.4401 0.5220 0.7475
45 S 0.5415 0.2908 0.0796
46 S 0.2115 0.9615 0.9212
47 S 0.5381 0.7888 0.0796
48 S 0.8099 0.2280 0.7525
49 Ba 0.0000 0.0000 0.0000
50 Ba 0.7525 0.7525 0.5050
51 Ba 0.5000 0.5000 0.0000
52 Ba 0.4975 0.9975 0.9950
53 Ba 0.2475 0.2475 0.4950
54 Ba 0.0025 0.5025 0.0050
55 Ba 0.7500 0.2500 0.5000
56 Ba 0.2500 0.7500 0.5000

* raw total energy: -1229.731 eV for the cell shown
* formation energy from raw total energies: -1.2687 eV per atom
* symmetry: Fddd (70)

No. 4
Below is BaInSb at its PBEsol-relaxed geometry, with properties calculated at the SCAN level.

Lattice parameters (Å, degrees): 5.4991 5.4991 5.4991 60.00 60.00 60.00
Fractional coordinates of all 3 atoms:
1 Sb 0.5000 0.5000 0.5000
2 In 0.0000 0.0000 0.0000
3 Ba 0.2500 0.2500 0.2500

* raw total energy: -111.066 eV for the cell shown
* formation energy from raw total energies: -0.2897 eV per atom
* symmetry: F-43m (216)
* relative energy among the computed polymorphs: 486 meV per atom

No. 5
Below is BaIn2Sb at its PBEsol-relaxed geometry, with properties calculated at the SCAN level.

Lattice parameters (Å, degrees): 4.5420 4.5435 6.2500 90.00 90.00 90.00
Fractional coordinates of all 4 atoms:
1 Sb 0.6249 0.0000 0.4926
2 Ba 0.1249 0.5000 0.6997
3 In 0.1250 0.0000 0.1537
4 In 0.6252 0.5000 0.1540

* raw total energy: -145.892 eV for the cell shown
* formation energy from raw total energies: -0.5771 eV per atom
* symmetry: P4mm (99)

No. 6
Below is BaInSb at its PBEsol-relaxed geometry, with properties calculated at the SCAN level.

Lattice parameters (Å, degrees): 4.7700 4.7700 5.3168 90.00 90.00 120.00
Fractional coordinates of all 3 atoms:
1 Ba 0.0000 0.0000 0.9941
2 In 0.3333 0.6667 0.6110
3 Sb 0.6667 0.3333 0.3948

* raw total energy: -112.526 eV for the cell shown
* formation energy from raw total energies: -0.7761 eV per atom
* symmetry: P3m1 (156)
* relative energy among the computed polymorphs: 0 meV per atom